VASP calculation (PBE-GGA) on a relaxed Be2HOsRh crystal.

```
data_Be2HOsRh
_chemical_formula_sum 'Be2 H1 Os1 Rh1'
_cell_length_a 3.8808
_cell_length_b 3.8808
_cell_length_c 3.2355
_cell_angle_alpha 90.00
_cell_angle_beta 90.00
_cell_angle_gamma 90.00
_symmetry_space_group_name_H-M 'P 1'
_symmetry_Int_Tables_number 1
_symmetry_space_group_name_Hall 'P 1'
loop_
_atom_site_label
_atom_site_type_symbol
_atom_site_fract_x
_atom_site_fract_y
_atom_site_fract_z
Be1 Be 0.0000 0.5000 0.0000
Be2 Be 0.5000 0.0000 0.0000
H1 H 0.0000 0.0000 0.0000
Os1 Os 0.0000 0.0000 0.5000
Rh1 Rh 0.5000 0.5000 0.5000
```

Results
**Space group**: P4/mmm
**Theoretical density**: 10.64 g/cm3
**Magnetic moment**: 0.000 μB/f.u.
**E_tot**: -5.840 eV per atom

VASP calculation (PBE-GGA) on a relaxed ScBe2HOs crystal.

```
data_ScBe2HOs
_chemical_formula_sum 'Sc1 Be2 H1 Os1'
_cell_length_a 3.7036
_cell_length_b 3.7036
_cell_length_c 3.9666
_cell_angle_alpha 90.00
_cell_angle_beta 90.00
_cell_angle_gamma 90.00
_symmetry_space_group_name_H-M 'P 1'
_symmetry_Int_Tables_number 1
_symmetry_space_group_name_Hall 'P 1'
loop_
_atom_site_label
_atom_site_type_symbol
_atom_site_fract_x
_atom_site_fract_y
_atom_site_fract_z
Sc1 Sc 0.0000 0.0000 0.0000
Be1 Be 0.0000 0.5000 0.5000
Be2 Be 0.5000 0.0000 0.5000
H1 H 0.0000 0.0000 0.5000
Os1 Os 0.5000 0.5000 0.0000
```

Results
**Space group**: P4/mmm
**Theoretical density**: 7.76 g/cm3
**Magnetic moment**: 0.000 μB/f.u.
**E_tot**: -5.667 eV per atom

> Which of these has the lowest E_tot?

Be2HOsRh